[1]
Density functional theory data (PBE-GGA) for a relaxed Mg3InAu3 crystal.

Geometry as POSCAR:
```
Mg3InAu3
1.0
-5.3768 1.4292 3.5423
-1.0190 -6.4509 0.9204
3.6505 0.2016 5.4612
Mg Au In
6 6 2
direct
0.2446 0.7554 0.5000
0.7499 0.2501 0.0000
0.7537 0.7537 0.5000
0.2501 0.7499 0.0000
0.2463 0.2463 0.5000
0.7554 0.2446 0.5000
0.0000 0.0000 0.2374
0.0000 0.0000 0.7626
0.0000 0.5000 0.7384
0.0000 0.5000 0.2616
0.5000 0.0000 0.7384
0.5000 0.0000 0.2616
0.7163 0.7163 0.0000
0.2837 0.2837 0.0000
```

Values from the calculation:
Calculated density ... 9.0 g cm⁻³
Density of states at the Fermi level ... 0.374 states/eV/atom
Energy ... -2.9094 eV per atom
ΔE to the lowest computed polymorph ... 0.07 eV per formula unit

[2]
Density functional theory data (PBE-GGA) for a relaxed Ni2HgAu2 crystal.

Geometry as POSCAR:
```
Ni2HgAu2
1.0
3.4866 0.0000 0.0000
0.0000 3.4866 0.0000
1.7433 1.7433 7.0550
Au Ni Hg
2 2 1
direct
0.6108 0.6108 0.7784
0.3892 0.3892 0.2216
0.7500 0.2500 0.5000
0.2500 0.7500 0.5000
0.0000 0.0000 0.0000
```

Values from the calculation:
Calculated density ... 13.8 g cm⁻³
Density of states at the Fermi level ... 1.401 states/eV/atom
Energy ... -3.4084 eV per atom
ΔE to the lowest computed polymorph ... 0.52 eV per formula unit

[3]
Density functional theory data (PBE-GGA) for a relaxed ZnSiSb3 crystal.

Geometry as POSCAR:
```
ZnSiSb3
1.0
-2.5742 1.6856 4.1754
3.3591 -2.4840 3.0737
2.9985 4.2297 0.1412
Si Zn Sb
1 1 3
direct
0.5000 0.5000 0.5000
0.0000 0.0000 0.0000
0.0000 0.5000 0.0000
0.0000 0.0000 0.5000
0.5000 0.0000 0.0000
```

Values from the calculation:
Formation energy from raw total energies ... 0.8395 eV per atom
Calculated density ... 5.5 g cm⁻³
Density of states at the Fermi level ... 0.777 states/eV/atom
Energy ... -2.9733 eV per atom
ΔE to the lowest computed polymorph ... 0.74 eV per formula unit

[4]
Density functional theory data (PBE-GGA) for a relaxed Er4CoBi crystal.

Geometry as POSCAR:
```
Er4CoBi
1.0
-1.4753 1.7022 -3.0113
-5.1905 -6.4889 -1.1250
-13.4711 8.7717 11.5581
Er Co Bi
16 4 4
direct
0.7500 0.5372 0.5670
0.7500 0.8763 0.6453
0.2500 0.5628 0.7127
0.7500 0.8545 0.4564
0.7500 0.3545 0.0436
0.7500 0.3763 0.8547
0.7500 0.4372 0.2873
0.2500 0.0628 0.7873
0.7500 0.9372 0.2127
0.2500 0.6455 0.9564
0.2500 0.1237 0.3547
0.7500 0.0372 0.9330
0.2500 0.6237 0.1453
0.2500 0.9628 0.0670
0.2500 0.1455 0.5436
0.2500 0.4628 0.4330
0.7500 0.7192 0.0545
0.7500 0.2192 0.4455
0.2500 0.7808 0.5545
0.2500 0.2808 0.9455
0.2500 0.2433 0.1833
0.7500 0.7567 0.8167
0.2500 0.7433 0.3167
0.7500 0.2567 0.6833
```

Values from the calculation:
Calculated density ... 10.0 g cm⁻³
Density of states at the Fermi level ... 0.894 states/eV/atom
Energy ... -5.2513 eV per atom
ΔE to the lowest computed polymorph ... 0.00 eV per formula unit

[5]
Density functional theory data (PBE-GGA) for a relaxed Ni3SbAu crystal.

Geometry as POSCAR:
```
Ni3SbAu
1.0
4.6114 0.0000 0.0000
0.0000 4.6114 0.0000
0.0000 0.0000 4.6114
Sb Ni Au
1 3 1
direct
0.0000 0.0000 0.0000
0.0000 0.5000 0.0000
0.5000 0.0000 0.0000
0.0000 0.0000 0.5000
0.5000 0.5000 0.5000
```

Values from the calculation:
Formation energy from raw total energies ... 0.8737 eV per atom
Calculated density ... 8.4 g cm⁻³
Density of states at the Fermi level ... 0.711 states/eV/atom
Energy ... -4.0750 eV per atom
ΔE to the lowest computed polymorph ... 0.00 eV per formula unit

[6]
Density functional theory data (PBE-GGA) for a relaxed CaPb2Br6 crystal.

Geometry as POSCAR:
```
CaPb2Br6
1.0
4.2976 0.0000 -0.9847
-0.3875 8.3590 -1.6913
-0.0707 0.3756 9.5619
Br Ca Pb
6 1 2
direct
0.0006 0.2302 0.0012
0.3411 0.9234 0.6822
0.3338 0.4215 0.6677
0.6662 0.5785 0.3323
0.9994 0.7698 0.9988
0.6589 0.0766 0.3178
0.5000 0.0000 0.0000
0.1656 0.3289 0.3311
0.8344 0.6711 0.6689
```

Values from the calculation:
Formation energy from raw total energies ... -1.2905 eV per atom
Calculated density ... 4.5 g cm⁻³
Density of states at the Fermi level ... 0.000 states/eV/atom
Energy ... -3.4522 eV per atom
ΔE to the lowest computed polymorph ... 0.00 eV per formula unit

[7]
Density functional theory data (PBE-GGA) for a relaxed LiSb2Se crystal.

Geometry as POSCAR:
```
LiSb2Se
1.0
-3.7054 -2.2706 4.4420
2.0853 -0.7347 5.8076
-1.0393 3.9204 -4.7082
Sb Li Se
2 1 1
direct
0.7376 0.2376 0.5000
0.9784 0.9784 0.0000
0.2905 0.7905 0.5000
0.4935 0.4935 0.0000
```

Values from the calculation:
Formation energy from raw total energies ... -0.1231 eV per atom
Calculated density ... 5.7 g cm⁻³
Density of states at the Fermi level ... 0.422 states/eV/atom
Energy ... -3.5339 eV per atom

[8]
Density functional theory data (PBE-GGA) for a relaxed TcNi2Ag crystal.

Geometry as POSCAR:
```
TcNi2Ag
1.0
-5.2448 3.7143 -1.8349
-2.3634 -5.1139 -3.5963
-5.1753 -1.5755 -0.5692
Ni Ag Tc
4 2 2
direct
0.6004 0.1250 0.2500
0.3750 0.3996 0.7500
0.8750 0.8504 0.7500
0.1496 0.6250 0.2500
0.0000 0.0000 0.0000
0.7500 0.2500 0.5000
0.5000 0.5000 0.0000
0.2500 0.7500 0.5000
```

Values from the calculation:
Calculated density ... 8.9 g cm⁻³
Density of states at the Fermi level ... 0.879 states/eV/atom
Energy ... -5.4164 eV per atom
ΔE to the lowest computed polymorph ... 2.68 eV per formula unit